No. 1
Compound: CePr3Dy2Ho6
Source: Alexandria via LeMat-Bulk
Functional: PBE-GGA
Structure: relaxed

Unit cell a=6.2076 b=10.7494 c=11.7938 alpha=90.00 beta=100.09 gamma=90.00
Closest atoms and distances in Å follow each position.
Space group C2/m (No. 12)
Asymmetric unit:
Ce1 0.0000 0.0000 0.0000  6 Ho 3.52, 6 Dy 3.58
Pr1 0.0000 0.1676 0.5000  6 Pr 3.57-3.60, 6 Ho 3.60-3.61
Pr2 0.0000 0.5000 0.5000  6 Pr 3.57-3.59, 6 Ho 3.60-3.61
Dy1 0.0000 0.3333 0.0000  6 Ho 3.53, 3 Ce 3.58, 3 Dy 3.58
Ho1 0.2475 0.1655 0.2456  1 Ce 3.52, 2 Dy 3.53, 6 Ho 3.56-3.60, 3 Pr 3.60-3.61
Ho2 0.2492 0.0000 0.7542  1 Ce 3.52, 2 Dy 3.53, 6 Ho 3.56-3.60, 3 Pr 3.61

Fermi-level density of states   1.504 states/eV/atom
Formation energy   0.0354 eV/atom

No. 2
Compound: CeDyHoPu
Source: Alexandria via LeMat-Bulk
Functional: PBE-GGA
Structure: relaxed

Unit cell a=7.8648 b=7.8648 c=7.8648 alpha=90.00 beta=90.00 gamma=90.00
Closest atoms and distances in Å follow each position.
Space group F-43m (No. 216)
Asymmetric unit:
Ce1 0.0000 0.0000 0.0000  4 Dy 3.41, 4 Ho 3.41
Dy1 0.2500 0.2500 0.7500  4 Ce 3.41, 4 Pu 3.41
Ho1 0.2500 0.2500 0.2500  4 Ce 3.41, 4 Pu 3.41
Pu1 0.0000 0.0000 0.5000  4 Dy 3.41, 4 Ho 3.41

Fermi-level density of states   4.170 states/eV/atom
Formation energy   0.2649 eV/atom

No. 3
Compound: CeDyHo2Ru4
Source: Alexandria via LeMat-Bulk
Functional: PBE-GGA
Structure: relaxed

Unit cell a=4.8422 b=4.8422 c=23.2990 alpha=90.00 beta=90.00 gamma=120.00
Closest atoms and distances in Å follow each position.
Space group R-3m (No. 166, hexagonal axes)
Asymmetric unit:
Ce1 0.0000 0.0000 0.0000  8 Ru 2.81-2.94
Dy1 0.0000 0.0000 0.5000  8 Ru 2.97-2.99
Ho1 0.0000 0.0000 0.2476  8 Ru 2.91-3.00
Ru1 0.0000 0.0000 0.1207  1 Ce 2.81, 4 Ho 2.91-2.96, 3 Dy 2.99
Ru2 0.0000 0.0000 0.3725  4 Ho 2.91-3.00, 3 Ce 2.94, 1 Dy 2.97

Fermi-level density of states   0.651 states/eV/atom
Formation energy   -0.3939 eV/atom

No. 4
Compound: CeDy4HoS8
Source: Alexandria via LeMat-Bulk
Functional: PBE-GGA
Structure: relaxed

Unit cell a=8.1037 b=8.1037 c=19.8223 alpha=90.00 beta=90.00 gamma=120.00
Closest atoms and distances in Å follow each position.
Space group R3m (No. 160, hexagonal axes)
Asymmetric unit:
Ce1 0.0000 0.0000 0.0000  4 S 2.71
Dy1 0.0000 0.0000 0.2496  4 S 2.62-2.63
Dy2 0.0003 0.5001 0.1249  6 S 2.74-2.78
Ho1 0.0000 0.0000 0.6248  6 S 2.73-2.77
S1 0.0000 0.0000 0.3819  4 Dy 2.62-2.78
S2 0.0000 0.0000 0.8633  1 Ce 2.71, 3 Dy 2.74
S3 0.0319 0.5160 0.3783  1 Ce 2.71, 1 Ho 2.73, 2 Dy 2.74
S4 0.1768 0.3537 0.2062  3 Dy 2.63-2.78, 1 Ho 2.77

Fermi-level density of states   0.887 states/eV/atom
Raw formation energy   -1.9155 eV/atom

No. 5
Compound: Ce3DyHo4S8
Source: Alexandria via LeMat-Bulk
Functional: PBE-GGA
Structure: relaxed

Unit cell a=7.8535 b=7.8535 c=19.4063 alpha=90.00 beta=90.00 gamma=120.00
Closest atoms and distances in Å follow each position.
Space group R-3m (No. 166, hexagonal axes)
Asymmetric unit:
Ce1 0.0000 0.5000 0.0000  6 S 2.83-2.84
Dy1 0.0000 0.0000 0.0000  6 S 2.79
Ho1 0.0000 0.0000 0.5000  6 S 2.78
Ho2 0.0000 0.5000 0.5000  6 S 2.74
S1 0.0000 0.0000 0.2456  3 Ho 2.74, 3 Ce 2.84
S2 0.0047 0.5023 0.7531  3 Ho 2.74-2.78, 1 Dy 2.79, 2 Ce 2.83

Fermi-level density of states   1.082 states/eV/atom
Raw formation energy   -2.0123 eV/atom

No. 6
Compound: Ce4Dy3HoS8
Source: Alexandria via LeMat-Bulk
Functional: PBE-GGA
Structure: relaxed

Unit cell a=7.8871 b=7.8871 c=19.5951 alpha=90.00 beta=90.00 gamma=120.00
Closest atoms and distances in Å follow each position.
Space group R-3m (No. 166, hexagonal axes)
Asymmetric unit:
Ce1 0.0000 0.0000 0.0000  6 S 2.85
Ce2 0.0000 0.5000 0.0000  6 S 2.85
Dy1 0.0000 0.5000 0.5000  6 S 2.76
Ho1 0.0000 0.0000 0.5000  6 S 2.75
S1 0.0000 0.0000 0.2461  3 Dy 2.76, 3 Ce 2.85
S2 0.0010 0.5005 0.2459  1 Ho 2.75, 2 Dy 2.76, 3 Ce 2.85

Fermi-level density of states   1.340 states/eV/atom
Raw formation energy   -2.0285 eV/atom